Entry from the Alexandria database: Cr2B2Cl after structural relaxation (PBE-GGA).

Cell lengths 6.011, 6.011, 2.836 Å; angles 90.00, 90.00, 90.00 degrees
Space group P4/mbm (No. 127)
Inequivalent atoms, fractional coordinates:
Cr 0.168 0.332 0.000 [4 per cell]
B 0.102 0.602 0.500 [4 per cell]
Cl 0.000 0.000 0.000 [2 per cell]

* raw formation energy: 0.29 eV per atom
* relative energy among the computed polymorphs: 38 meV per atom
* raw total energy: -66.0 eV/cell

Entry from the Alexandria database: YBiH2Pb after structural relaxation (PBE-GGA).

Cell lengths 4.348, 4.348, 6.447 Å; angles 90.00, 90.00, 90.00 degrees
Space group P4/mmm (No. 123)
Inequivalent atoms, fractional coordinates:
Y 0.000 0.000 0.000 [1 per cell]
Bi 0.500 0.500 0.500 [1 per cell]
H 0.000 0.500 0.000 [2 per cell]
Pb 0.000 0.000 0.500 [1 per cell]

* raw total energy: -20.8 eV/cell

Entry from the Alexandria database: PmPr2Tm6 after structural relaxation (PBE-GGA).

Cell lengths 12.834, 14.105, 6.558 Å; angles 90.00, 102.55, 90.00 degrees
Space group C2/c (No. 15)
Inequivalent atoms, fractional coordinates:
Pm 0.000 0.119 0.250 [4 per cell]
Pr 0.143 0.472 0.375 [8 per cell]
Tm 0.033 0.311 0.000 [8 per cell]
Tm 0.132 0.088 0.817 [8 per cell]
Tm 0.241 0.297 0.737 [8 per cell]

* relative energy among the computed polymorphs: 29 meV per atom
* ΔH_f (0 K): 0.11 eV/atom
* raw total energy: -160.7 eV/cell

Entry from the Alexandria database: Th2TiNi4Ge3 after structural relaxation (PBE-GGA).

Cell lengths 4.147, 4.147, 9.880 Å; angles 90.00, 90.00, 90.00 degrees
Space group P-4m2 (No. 115)
Inequivalent atoms, fractional coordinates:
Th 0.000 0.500 0.239 [2 per cell]
Ti 0.000 0.000 0.500 [1 per cell]
Ni 0.000 0.000 0.000 [1 per cell]
Ni 0.000 0.500 0.633 [2 per cell]
Ni 0.500 0.500 0.000 [1 per cell]
Ge 0.000 0.500 0.873 [2 per cell]
Ge 0.500 0.500 0.500 [1 per cell]

* ΔH_f (0 K): -0.69 eV/atom
* raw total energy: -66.6 eV/cell

Entry from the Alexandria database: ReSbAs2 after structural relaxation (PBE-GGA).

Cell lengths 5.502, 7.816, 4.487 Å; angles 90.00, 124.17, 90.00 degrees
Space group C2/m (No. 12)
Inequivalent atoms, fractional coordinates:
Re 0.000 0.000 0.000 [2 per cell]
Sb 0.000 0.500 0.000 [2 per cell]
As 0.250 0.250 0.500 [4 per cell]

* raw formation energy: 0.69 eV per atom
* raw total energy: -46.2 eV/cell

Entry from the Alexandria database: V3SbRu after structural relaxation (PBE-GGA).

Cell lengths 4.585, 4.585, 4.585 Å; angles 90.00, 90.00, 90.00 degrees
Space group Pm-3m (No. 221)
Inequivalent atoms, fractional coordinates:
V 0.000 0.000 0.500 [3 per cell]
Sb 0.500 0.500 0.500 [1 per cell]
Ru 0.000 0.000 0.000 [1 per cell]

* raw formation energy: 0.79 eV per atom
* relative energy among the computed polymorphs: 0 meV per atom
* raw total energy: -36.8 eV/cell

Entry from the Alexandria database: K2SbTe after structural relaxation (PBE-GGA).

Cell lengths 5.003, 5.003, 5.285 Å; angles 90.00, 90.00, 90.00 degrees
Space group P4/mmm (No. 123)
Inequivalent atoms, fractional coordinates:
K 0.000 0.500 0.000 [2 per cell]
Sb 0.000 0.000 0.500 [1 per cell]
Te 0.500 0.500 0.500 [1 per cell]

* raw formation energy: -0.49 eV per atom
* relative energy among the computed polymorphs: 55 meV per atom
* raw total energy: -11.4 eV/cell

Entry from the Alexandria database: HfZnP2O after structural relaxation (PBE-GGA).

Cell lengths 4.669, 4.669, 3.690 Å; angles 90.00, 90.00, 90.00 degrees
Space group P4/mmm (No. 123)
Inequivalent atoms, fractional coordinates:
Hf 0.000 0.000 0.000 [1 per cell]
Zn 0.500 0.500 0.500 [1 per cell]
P 0.000 0.500 0.500 [2 per cell]
O 0.500 0.500 0.000 [1 per cell]

* raw formation energy: 0.05 eV per atom
* relative energy among the computed polymorphs: 453 meV per atom
* raw total energy: -26.7 eV/cell

Entry from the Alexandria database: Tb2MgSi2Pd5 after structural relaxation (PBE-GGA).

Cell lengths 10.047, 10.047, 3.572 Å; angles 90.00, 90.00, 90.00 degrees
Space group P4/mbm (No. 127)
Inequivalent atoms, fractional coordinates:
Tb 0.175 0.325 0.000 [4 per cell]
Mg 0.000 0.000 0.000 [2 per cell]
Si 0.126 0.626 0.000 [4 per cell]
Pd 0.000 0.500 0.500 [2 per cell]
Pd 0.060 0.785 0.500 [8 per cell]

* raw formation energy: -0.76 eV per atom
* raw total energy: -110.5 eV/cell

Entry from the Alexandria database: Ti2ZnCu4 after structural relaxation (PBE-GGA).

Cell lengths 4.382, 4.382, 12.742 Å; angles 90.00, 90.00, 90.00 degrees
Space group I4/mmm (No. 139)
Inequivalent atoms, fractional coordinates:
Ti 0.000 0.000 0.116 [4 per cell]
Zn 0.000 0.000 0.500 [2 per cell]
Cu 0.000 0.000 0.312 [4 per cell]
Cu 0.000 0.500 0.000 [4 per cell]

* relative energy among the computed polymorphs: 741 meV per atom
* ΔH_f (0 K): 0.66 eV/atom
* raw total energy: -57.7 eV/cell

Entry from the Alexandria database: MoPd8Pt5 after structural relaxation (PBE-GGA).

Cell lengths 7.701, 7.701, 7.758 Å; angles 90.00, 90.00, 90.00 degrees
Space group I-4 (No. 82)
Inequivalent atoms, fractional coordinates:
Mo 0.000 0.000 0.000 [2 per cell]
Pd 0.059 0.331 0.082 [8 per cell]
Pd 0.109 0.182 0.759 [8 per cell]
Pt 0.000 0.500 0.750 [2 per cell]
Pt 0.109 0.195 0.413 [8 per cell]

* ΔH_f (0 K): 0.15 eV/atom
* raw total energy: -161.0 eV/cell

Entry from the Alexandria database: Tb4YCu after structural relaxation (PBE-GGA).

Cell lengths 3.524, 3.524, 13.776 Å; angles 90.00, 90.00, 90.00 degrees
Space group P4/mmm (No. 123)
Inequivalent atoms, fractional coordinates:
Tb 0.000 0.000 0.124 [2 per cell]
Tb 0.500 0.500 0.315 [2 per cell]
Y 0.000 0.000 0.500 [1 per cell]
Cu 0.500 0.500 0.000 [1 per cell]

* ΔH_f (0 K): -0.05 eV/atom
* raw total energy: -29.4 eV/cell

Entry from the Alexandria database: CeScBr after structural relaxation (PBE-GGA).

Cell lengths 3.4861, 3.4861, 46.6715 Å; angles 90.00, 90.00, 120.00 degrees
Space group R-3m (No. 166, hexagonal axes)
Inequivalent atoms, fractional coordinates:
Ce 0.0000 0.0000 0.1381 [6 per cell]
Sc 0.0000 0.0000 0.4136 [6 per cell]
Br 0.0000 0.0000 0.2925 [6 per cell]

* raw formation energy: -0.70 eV per atom
* relative energy among the computed polymorphs: 0 meV per atom
* raw total energy: -96.1 eV/cell

Entry from the Alexandria database: BaSiIr after structural relaxation (PBE-GGA).

Cell lengths 6.721, 6.721, 6.721 Å; angles 90.00, 90.00, 90.00 degrees
Space group F-43m (No. 216)
Inequivalent atoms, fractional coordinates:
Ba 0.000 0.000 0.000 [4 per cell]
Si 0.250 0.250 0.250 [4 per cell]
Ir 0.000 0.000 0.500 [4 per cell]

* raw formation energy: 0.53 eV per atom
* raw total energy: -58.5 eV/cell

Entry from the Alexandria database: RbNa2ICl4 after structural relaxation (PBE-GGA).

Cell lengths 11.415, 13.319, 8.877 Å; angles 90.00, 129.57, 90.00 degrees
Space group C2/c (No. 15)
Inequivalent atoms, fractional coordinates:
Rb 0.000 0.000 0.000 [4 per cell]
Na 0.000 0.500 0.000 [4 per cell]
Na 0.250 0.250 0.000 [4 per cell]
I 0.250 0.250 0.500 [4 per cell]
Cl 0.074 0.279 0.586 [8 per cell]
Cl 0.239 0.450 0.026 [8 per cell]

* raw formation energy: -1.37 eV per atom
* raw total energy: -94.0 eV/cell

Entry from the Alexandria database: TaTeBr2 after structural relaxation (PBE-GGA).

Cell lengths 6.276, 9.917, 3.721 Å; angles 90.00, 123.74, 90.00 degrees
Space group C2/m (No. 12)
Inequivalent atoms, fractional coordinates:
Ta 0.000 0.000 0.000 [2 per cell]
Te 0.000 0.500 0.000 [2 per cell]
Br 0.250 0.250 0.500 [4 per cell]

* raw formation energy: 0.61 eV per atom
* relative energy among the computed polymorphs: 1045 meV per atom
* raw total energy: -31.8 eV/cell

Entry from the Alexandria database: TlPbAu after structural relaxation (PBE-GGA).

Cell lengths 5.779, 9.921, 22.409 Å; angles 90.00, 90.00, 90.00 degrees
Space group Fddd (No. 70, origin choice 2)
Inequivalent atoms, fractional coordinates:
Tl 0.125 0.297 0.125 [16 per cell]
Pb 0.125 0.125 0.548 [16 per cell]
Au 0.125 0.125 0.004 [16 per cell]

* ΔH_f (0 K): -0.04 eV/atom
* raw total energy: -151.8 eV/cell

Entry from the Alexandria database: Tl2AgAs after structural relaxation (PBE-GGA).

Cell lengths 7.839, 4.528, 6.998 Å; angles 90.00, 111.76, 90.00 degrees
Space group Cm (No. 8)
Inequivalent atoms, fractional coordinates:
Tl 0.000 0.000 0.000 [2 per cell]
Tl 0.202 0.000 0.608 [2 per cell]
Ag 0.265 0.500 0.295 [2 per cell]
As 0.436 0.000 0.307 [2 per cell]

* relative energy among the computed polymorphs: 0 meV per atom
* ΔH_f (0 K): 0.01 eV/atom
* raw total energy: -24.4 eV/cell

Entry from the Alexandria database: PrDySiHg after structural relaxation (PBE-GGA).

Cell lengths 7.379, 7.379, 7.379 Å; angles 90.00, 90.00, 90.00 degrees
Space group F-43m (No. 216)
Inequivalent atoms, fractional coordinates:
Pr 0.000 0.000 0.000 [4 per cell]
Dy 0.000 0.000 0.500 [4 per cell]
Si 0.250 0.250 0.250 [4 per cell]
Hg 0.250 0.250 0.750 [4 per cell]

* raw formation energy: -0.45 eV per atom
* raw total energy: -67.6 eV/cell

Entry from the Alexandria database: ZrBr2Cl after structural relaxation (PBE-GGA).

Cell lengths 9.865, 9.865, 5.108 Å; angles 90.00, 90.00, 90.00 degrees
Space group I-42d (No. 122)
Inequivalent atoms, fractional coordinates:
Zr 0.000 0.000 0.000 [4 per cell]
Br 0.102 0.750 0.125 [8 per cell]
Cl 0.000 0.000 0.500 [4 per cell]

* raw formation energy: -1.21 eV per atom
* relative energy among the computed polymorphs: 203 meV per atom
* raw total energy: -74.4 eV/cell